This record from Alexandria via LeMat-Bulk describes a relaxed Pm2MgNi4Sn3 crystal. The functional is GGA-PBE.

abc: 4.3986 4.3986 10.2341
angles: 90.00 90.00 90.00
Element x y z (fractional)
1 Pm 0.0000 0.5000 0.7632
2 Sn 0.0000 0.5000 0.1274
3 Mg 0.5000 0.5000 0.5000
4 Sn 0.0000 0.0000 0.5000
5 Ni 0.0000 0.5000 0.3699
6 Pm 0.5000 0.0000 0.2368
7 Sn 0.5000 0.0000 0.8726
8 Ni 0.0000 0.0000 0.0000
9 Ni 0.5000 0.5000 0.0000
10 Ni 0.5000 0.0000 0.6301

The value obtained for the formation energy is -4.802 eV/f.u. The value obtained for the density of states at the Fermi level is 0.85 states/eV per atom. As for the raw total energy: -5.103 eV per atom. For the total magnetization, the calculation gives 0.00 μB per atom.


This record from Alexandria via LeMat-Bulk describes a relaxed TbPmMgNi crystal. The functional is GGA-PBE.

abc: 5.1298 5.1298 5.1298
angles: 60.00 60.00 60.00
Element x y z (fractional)
1 Ni 0.2500 0.2500 0.2500
2 Pm 0.5000 0.5000 0.5000
3 Mg 0.7500 0.7500 0.7500
4 Tb 0.0000 0.0000 0.0000

The value obtained for the formation energy is -0.313 eV/f.u. The value obtained for the density of states at the Fermi level is 0.87 states/eV per atom. As for the raw total energy: -4.267 eV per atom. For the total magnetization, the calculation gives 0.00 μB per atom.


This record from Alexandria via LeMat-Bulk describes a relaxed PmTmMgNi crystal. The functional is GGA-PBE.

abc: 5.0831 5.0831 5.0831
angles: 60.00 60.00 60.00
Element x y z (fractional)
1 Mg 0.5000 0.5000 0.5000
2 Tm 0.2500 0.2500 0.2500
3 Ni 0.0000 0.0000 0.0000
4 Pm 0.7500 0.7500 0.7500

The value obtained for the formation energy is -0.374 eV/f.u. The value obtained for the density of states at the Fermi level is 0.83 states/eV per atom. As for the raw total energy: -4.243 eV per atom. For the total magnetization, the calculation gives 0.00 μB per atom.


This record from Alexandria via LeMat-Bulk describes a relaxed PmMg2Zn2Ni crystal. The functional is GGA-PBE.

abc: 5.0250 5.0250 6.4314
angles: 113.00 113.00 90.00
Element x y z (fractional)
1 Mg 0.7500 0.2500 0.5000
2 Zn 0.2132 0.2132 0.4264
3 Pm 0.5000 0.5000 0.0000
4 Zn 0.7868 0.7868 0.5736
5 Ni 0.0000 0.0000 0.0000
6 Mg 0.2500 0.7500 0.5000

The value obtained for the formation energy is 1.313 eV/f.u. The value obtained for the density of states at the Fermi level is 0.57 states/eV per atom. As for the raw total energy: -2.493 eV per atom. For the total magnetization, the calculation gives 0.00 μB per atom.


This record from Alexandria via LeMat-Bulk describes a relaxed Pm2MgZn12Ni3 crystal. The functional is GGA-PBE.

abc: 8.1953 8.1953 8.1953
angles: 60.30 60.30 60.30
Element x y z (fractional)
1 Ni 0.0000 0.0000 0.5000
2 Zn 0.8362 0.4874 0.8362
3 Ni 0.0000 0.5000 0.0000
4 Zn 0.4874 0.8362 0.8362
5 Zn 0.8604 0.3227 0.3227
6 Pm 0.4084 0.4084 0.4084
7 Zn 0.1396 0.6773 0.6773
8 Zn 0.3227 0.8604 0.3227
9 Pm 0.5916 0.5916 0.5916
10 Ni 0.5000 0.0000 0.0000
11 Zn 0.6773 0.1396 0.6773
12 Zn 0.8362 0.8362 0.4874
13 Zn 0.3227 0.3227 0.8604
14 Zn 0.1638 0.5126 0.1638
15 Zn 0.1638 0.1638 0.5126
16 Zn 0.5126 0.1638 0.1638
17 Mg 0.0000 0.0000 0.0000
18 Zn 0.6773 0.6773 0.1396

The value obtained for the formation energy is 3.423 eV/f.u. The value obtained for the density of states at the Fermi level is 0.46 states/eV per atom. As for the raw total energy: -2.239 eV per atom. For the total magnetization, the calculation gives 0.00 μB per atom.


This record from Alexandria via LeMat-Bulk describes a relaxed PmMgZn2Ni2 crystal. The functional is GGA-PBE.

abc: 4.2607 4.2607 6.6187
angles: 90.00 90.00 120.00
Element x y z (fractional)
1 Ni 0.3333 0.6667 0.6998
2 Pm 0.0000 0.0000 0.0000
3 Ni 0.6667 0.3333 0.3002
4 Zn 0.3333 0.6667 0.3014
5 Mg 0.0000 0.0000 0.5000
6 Zn 0.6667 0.3333 0.6986

The value obtained for the formation energy is -1.826 eV/f.u. The value obtained for the density of states at the Fermi level is 0.35 states/eV per atom. As for the raw total energy: -3.714 eV per atom. For the total magnetization, the calculation gives 0.00 μB per atom.


This record from Alexandria via LeMat-Bulk describes a relaxed Pm2MgZn2Ni5 crystal. The functional is GGA-PBE.

abc: 3.6497 9.5002 9.5002
angles: 90.00 90.00 90.00
Element x y z (fractional)
1 Ni 0.5000 0.2839 0.5623
2 Ni 0.5000 0.9377 0.2161
3 Pm 0.0000 0.6813 0.1813
4 Zn 0.0000 0.1146 0.6146
5 Pm 0.0000 0.3187 0.8187
6 Zn 0.0000 0.8854 0.3854
7 Ni 0.5000 0.0000 0.5000
8 Zn 0.0000 0.3854 0.1146
9 Ni 0.5000 0.7839 0.9377
10 Pm 0.0000 0.8187 0.6813
11 Pm 0.0000 0.1813 0.3187
12 Zn 0.0000 0.6146 0.8854
13 Ni 0.5000 0.7161 0.4377
14 Ni 0.5000 0.5000 0.0000
15 Ni 0.5000 0.5623 0.7161
16 Ni 0.5000 0.4377 0.2839
17 Ni 0.5000 0.0623 0.7839
18 Mg 0.0000 0.5000 0.5000
19 Ni 0.5000 0.2161 0.0623
20 Mg 0.0000 0.0000 0.0000

The value obtained for the formation energy is -1.952 eV/f.u. The value obtained for the density of states at the Fermi level is 0.61 states/eV per atom. As for the raw total energy: -4.450 eV per atom. For the total magnetization, the calculation gives 0.00 μB per atom.


This record from Alexandria via LeMat-Bulk describes a relaxed PrMg3Ni crystal. The functional is GGA-PBE.

abc: 4.5664 4.7856 5.9133
angles: 113.87 90.00 90.00
Element x y z (fractional)
1 Pr 0.5000 0.0290 0.0580
2 Mg 0.0000 0.2659 0.5318
3 Mg 0.5000 0.7399 0.4797
4 Mg 0.0000 0.5378 0.0756
5 Ni 0.5000 0.3875 0.7750

The value obtained for the formation energy is -0.275 eV/f.u. The value obtained for the density of states at the Fermi level is 0.79 states/eV per atom. As for the raw total energy: -3.124 eV per atom. For the total magnetization, the calculation gives 0.00 μB per atom.